1.
DFT (PBE) results for a geometry-optimized SrScB structure.

```
6
Lattice="4.2933 -2.4788 0.0000 0.0000 4.9575 0.0000 0.0000 0.0000 9.1244" Properties=species:S:1:pos:R:3 pbc="T T T"
B 0.0000 0.0000 6.8433
Sc 0.0000 0.0000 0.0000
Sc 0.0000 0.0000 4.5622
B 0.0000 0.0000 2.2811
Sr 2.8622 0.0000 6.8433
Sr 1.4311 2.4788 2.2811
```

Values from the calculation:
For the formation enthalpy at 0 K, the calculation gives 0.7819 eV/atom. As for the space group: P6_3/mmc, No. 194.


2.
DFT (PBE) results for a geometry-optimized ZrTe2IBr structure.

```
5
Lattice="5.6205 0.0000 0.0000 0.0000 5.6205 0.0000 0.0000 0.0000 5.6821" Properties=species:S:1:pos:R:3 pbc="T T T"
Te 2.8102 0.0000 0.0000
Br 2.8102 2.8102 2.8411
Zr 0.0000 0.0000 0.0000
Te 0.0000 2.8102 0.0000
I 0.0000 0.0000 2.8411
```

Values from the calculation:
The value obtained for the raw formation energy is -22 kJ/mol of atoms. As for the space group: P4/mmm, No. 123.


3.
DFT (PBE) results for a geometry-optimized Tb3Y5Er2 structure.

```
20
Lattice="6.3132 0.0000 0.0000 3.1566 10.0132 -3.1202 3.1566 -0.3511 10.4822" Properties=species:S:1:pos:R:3 pbc="T T T"
Y 4.7349 2.4137 1.8391
Tb 6.3132 3.9055 6.5806
Er 3.1566 7.4645 -1.5043
Tb 4.7349 0.0000 0.0000
Er 6.3132 9.1316 -0.2341
Y 6.3132 0.5751 4.2280
Y 4.7349 4.8311 3.6810
Y 1.5783 2.4137 1.8391
Y 6.3132 9.0871 3.1340
Y 11.0481 7.2485 5.5229
Y 9.4698 5.4331 7.9296
Tb 1.5783 0.0000 0.0000
Tb 3.1566 2.2811 5.3429
Er 6.3132 0.5305 7.5961
Tb 6.3132 5.7567 0.7814
Y 7.8915 7.2485 5.5229
Y 3.1566 4.2290 -0.5675
Er 9.4698 2.1976 8.8664
Tb 9.4698 7.3811 2.0191
Y 7.8915 4.8311 3.6810
```

Values from the calculation:
For the formation enthalpy at 0 K, the calculation gives 0.3141 eV/atom. As for the space group: Ibam, No. 72.


4.
DFT (PBE) results for a geometry-optimized La8Sb5As structure.

```
14
Lattice="7.8848 0.0000 -2.7058 -3.9367 6.7874 -2.8152 -0.0115 0.0000 8.3362" Properties=species:S:1:pos:R:3 pbc="T T T"
La -1.8885 4.9970 -2.3606
La 1.4052 4.1207 -1.1045
Sb 6.3927 2.4945 -2.7176
Sb 3.4431 4.2929 1.4070
La 3.3458 2.6668 4.5020
As -0.0057 3.3937 4.1681
Sb 3.9367 0.0000 2.8152
Sb 3.4900 5.9291 -2.7819
Sb 2.4439 0.8583 -1.3191
La 1.3250 5.9658 3.1486
La -1.9584 5.0717 1.8780
La 7.3445 0.8217 3.0511
La 5.0808 1.7158 0.3549
La 1.0923 1.7904 1.7913
```

Values from the calculation:
The value obtained for the raw formation energy is -113 kJ/mol of atoms. As for the space group: I-4, No. 82.


5.
DFT (PBE) results for a geometry-optimized Gd2InAg structure.

```
4
Lattice="3.6316 0.0000 0.0000 0.0000 3.6316 0.0000 0.0000 0.0000 7.8608" Properties=species:S:1:pos:R:3 pbc="T T T"
In 0.0000 0.0000 3.9304
Gd 1.8158 1.8158 5.9881
Gd 1.8158 1.8158 1.8727
Ag 0.0000 0.0000 0.0000
```

Values from the calculation:
For the formation enthalpy at 0 K, the calculation gives -0.4127 eV/atom. As for the space group: P4/mmm, No. 123.


6.
DFT (PBE) results for a geometry-optimized TlNiSN2 structure.

```
5
Lattice="4.1964 0.0000 0.0000 0.0000 4.1964 0.0000 0.0000 0.0000 5.6169" Properties=species:S:1:pos:R:3 pbc="T T T"
S 0.0000 0.0000 2.8085
N 0.0000 2.0982 0.0000
Ni 2.0982 2.0982 2.8085
N 2.0982 0.0000 0.0000
Tl 0.0000 0.0000 0.0000
```

Values from the calculation:
The value obtained for the raw formation energy is 208 kJ/mol of atoms. As for the space group: P4/mmm, No. 123.